Entry from the Alexandria database: a geometry-optimized AcPm2SmTm structure (PBE).

Structure (CIF):
```
data_AcPm2SmTm
_space_group_name_H-M_alt 'C m c m'
_space_group_IT_number 63
_space_group_name_Hall '-C 2c 2'
_cell_length_a 8.3770
_cell_length_b 12.1690
_cell_length_c 7.3618
_cell_angle_alpha 90.00
_cell_angle_beta 90.00
_cell_angle_gamma 90.00
loop_
_atom_site_label
_atom_site_fract_x
_atom_site_fract_y
_atom_site_fract_z
_atom_site_occupancy
Ac1 0.0000 0.2435 0.2500 1
Pm1 0.1954 0.5000 0.0000 1
Sm1 0.0000 0.0554 0.7500 1
Tm1 0.0000 0.3075 0.7500 1
```

Values from the calculation:
Density: 7.40 g/cm3
DFT formation energy: 351.0 meV/atom